Entry 1:
## Th2Sn2S7 (PBE)

Data for a relaxed structure of Th2Sn2S7.

Values from the calculation:
**ΔE_f (raw)**: -1.14 eV per atom
**N(E_F)**: 7.99 states/eV per cell
**ρ**: 6.080 g cm⁻³

```
data_Th2Sn2S7
_cell_length_a 4.0863
_cell_length_b 13.9341
_cell_length_c 8.8829
_cell_angle_alpha 90.00
_cell_angle_beta 90.00
_cell_angle_gamma 90.00
_symmetry_space_group_name_H-M 'I m m 2'
_symmetry_Int_Tables_number 44
loop_
_symmetry_equiv_pos_as_xyz
'x,y,z'
'-x,-y,z'
'-x,y,z'
'x,-y,z'
'x+1/2,y+1/2,z+1/2'
'-x+1/2,-y+1/2,z+1/2'
'-x+1/2,y+1/2,z+1/2'
'x+1/2,-y+1/2,z+1/2'
loop_
_atom_site_label
_atom_site_type_symbol
_atom_site_fract_x
_atom_site_fract_y
_atom_site_fract_z
Th1 Th 0.0000 0.2382 0.0000
Sn1 Sn 0.0000 0.0000 0.2732
Sn2 Sn 0.0000 0.5000 0.2638
S1 S 0.0000 0.0000 0.9520
S2 S 0.0000 0.1192 0.5160
S3 S 0.0000 0.3155 0.2983
S4 S 0.0000 0.3565 0.7039
```

Entry 2:
## ThSnS4 (PBE)

Data for a relaxed structure of ThSnS4.

Values from the calculation:
**ΔE_f (raw)**: -1.03 eV per atom
**ρ**: 5.449 g cm⁻³

```
data_ThSnS4
_cell_length_a 6.5926
_cell_length_b 6.6093
_cell_length_c 6.7519
_cell_angle_alpha 90.00
_cell_angle_beta 97.08
_cell_angle_gamma 90.00
_symmetry_space_group_name_H-M 'P 1 21/c 1'
_symmetry_Int_Tables_number 14
loop_
_symmetry_equiv_pos_as_xyz
'x,y,z'
'-x,-y,-z'
'-x,y+1/2,-z+1/2'
'x,-y+1/2,z+1/2'
loop_
_atom_site_label
_atom_site_type_symbol
_atom_site_fract_x
_atom_site_fract_y
_atom_site_fract_z
Th1 Th 0.0000 0.0000 0.0000
Sn1 Sn 0.5000 0.0000 0.5000
S1 S 0.1834 0.1738 0.3558
S2 S 0.3063 0.7118 0.2595
```

Entry 3:
## ThTl2SnS4 (PBE)

Data for a relaxed structure of ThTl2SnS4.

Values from the calculation:
**ΔE_f (raw)**: -1.00 eV per atom
**ρ**: 6.457 g cm⁻³

```
data_ThTl2SnS4
_cell_length_a 7.3232
_cell_length_b 4.2150
_cell_length_c 7.7679
_cell_angle_alpha 90.00
_cell_angle_beta 107.78
_cell_angle_gamma 90.00
_symmetry_space_group_name_H-M 'P 1 2/m 1'
_symmetry_Int_Tables_number 10
loop_
_symmetry_equiv_pos_as_xyz
'x,y,z'
'-x,-y,-z'
'-x,y,-z'
'x,-y,z'
loop_
_atom_site_label
_atom_site_type_symbol
_atom_site_fract_x
_atom_site_fract_y
_atom_site_fract_z
Th1 Th 0.0000 0.0000 0.0000
Tl1 Tl 0.0000 0.5000 0.5000
Tl2 Tl 0.5000 0.0000 0.5000
Sn1 Sn 0.5000 0.5000 0.0000
S1 S 0.2228 0.5000 0.2022
S2 S 0.2489 0.0000 0.7956
```

Entry 4:
## TiSn2S4 (PBE)

Data for a relaxed structure of TiSn2S4.

Values from the calculation:
**Energy above the lowest structure with this stoichiometry**: 0.0 meV per atom
**ΔE_f (raw)**: -0.63 eV per atom
**N(E_F)**: 4.76 states/eV per cell
**ρ**: 4.343 g cm⁻³

```
data_TiSn2S4
_cell_length_a 3.4533
_cell_length_b 13.9285
_cell_length_c 13.1482
_cell_angle_alpha 90.00
_cell_angle_beta 90.00
_cell_angle_gamma 90.00
_symmetry_space_group_name_H-M 'C m c m'
_symmetry_Int_Tables_number 63
_symmetry_space_group_name_Hall '-C 2c 2'
loop_
_atom_site_label
_atom_site_type_symbol
_atom_site_fract_x
_atom_site_fract_y
_atom_site_fract_z
Ti1 Ti 0.0000 0.1250 0.2500
Sn1 Sn 0.0000 0.3743 0.0748
S1 S 0.0000 0.0000 0.0000
S2 S 0.0000 0.3038 0.6344
S3 S 0.0000 0.4962 0.2500
```

Entry 5:
## TiSn3S (PBE)

Data for a relaxed structure of TiSn3S.

Values from the calculation:
**Energy above the lowest structure with this stoichiometry**: 0.0 meV per atom
**ΔE_f (raw)**: 0.45 eV per atom
**N(E_F)**: 4.75 states/eV per cell
**ρ**: 4.844 g cm⁻³

```
data_TiSn3S
_cell_length_a 5.3071
_cell_length_b 5.3071
_cell_length_c 5.3071
_cell_angle_alpha 90.00
_cell_angle_beta 90.00
_cell_angle_gamma 90.00
_symmetry_space_group_name_H-M 'P m -3 m'
_symmetry_Int_Tables_number 221
_symmetry_space_group_name_Hall '-P 4 2 3'
loop_
_atom_site_label
_atom_site_type_symbol
_atom_site_fract_x
_atom_site_fract_y
_atom_site_fract_z
Ti1 Ti 0.0000 0.0000 0.0000
Sn1 Sn 0.0000 0.0000 0.5000
S1 S 0.5000 0.5000 0.5000
```

Entry 6:
## TiSn3S (PBE)

Data for a relaxed structure of TiSn3S.

Values from the calculation:
**Energy above the lowest structure with this stoichiometry**: 153.6 meV per atom
**ΔE_f (raw)**: 0.60 eV per atom
**N(E_F)**: 6.59 states/eV per cell
**ρ**: 5.270 g cm⁻³

```
data_TiSn3S
_cell_length_a 5.1603
_cell_length_b 5.1603
_cell_length_c 5.1603
_cell_angle_alpha 90.00
_cell_angle_beta 90.00
_cell_angle_gamma 90.00
_symmetry_space_group_name_H-M 'P m -3 m'
_symmetry_Int_Tables_number 221
_symmetry_space_group_name_Hall '-P 4 2 3'
loop_
_atom_site_label
_atom_site_type_symbol
_atom_site_fract_x
_atom_site_fract_y
_atom_site_fract_z
Ti1 Ti 0.0000 0.0000 0.0000
Sn1 Sn 0.0000 0.5000 0.5000
S1 S 0.5000 0.5000 0.5000
```